1.
VASP calculation (PBE) on a relaxed ScTlRu2 crystal.

Unit cell a=3.245 b=4.996 c=8.804 alpha=90.00 beta=90.00 gamma=90.00
Space group Cmmm (No. 65)
Symmetry-distinct sites (fractional):
Sc (0.000, 0.000, 0.000) (multiplicity 2)
Tl (0.000, 0.000, 0.500) (multiplicity 2)
Ru (0.000, 0.500, 0.235) (multiplicity 4)


2.
VASP calculation (PBE) on a relaxed MgZnCd2Ag crystal.

Unit cell a=5.369 b=5.369 c=4.992 alpha=90.00 beta=90.00 gamma=90.00
Space group P4/mmm (No. 123)
Symmetry-distinct sites (fractional):
Mg (0.000, 0.000, 0.000) (multiplicity 1)
Zn (0.000, 0.000, 0.500) (multiplicity 1)
Cd (0.000, 0.500, 0.000) (multiplicity 2)
Ag (0.500, 0.500, 0.500) (multiplicity 1)

For the energy relative to the lowest polymorph listed for this composition, the calculation gives 571 meV per atom.


In the order shown, the computed calculated formation energy values come out to 1.06; 2.91 eV per formula unit.